Version P
Entry from the Alexandria database: a relaxed Be2CN crystal (PBE).

It has space group Fm-3m (No. 225), with a = 4.820 Å, b = 4.820 Å, c = 4.820 Å, α = 90.00°, β = 90.00° and γ = 90.00°. The asymmetric unit holds Be at (0.250, 0.250, 0.250), C at (0.000, 0.000, 0.000) and N at (0.000, 0.000, 0.500).

For the total magnetization, the calculation gives 0.000 μB per cell.

Version Q
Entry from the Alexandria database: a relaxed Be2CN crystal (PBE).

It has space group I-42d (No. 122), with a = 4.395 Å, b = 4.395 Å, c = 6.845 Å, α = 90.00°, β = 90.00° and γ = 90.00°. The asymmetric unit holds Be at (0.191, 0.250, 0.125), C at (0.000, 0.000, 0.500) and N at (0.000, 0.000, 0.000).

For the total magnetization, the calculation gives 0.000 μB per cell.

Which of them is least stable? Easy: version P.

Version P
Entry from the Alexandria database: a relaxed BeCS2N crystal (PBE).

It has space group P4/mmm (No. 123), with a = 5.629 Å, b = 5.629 Å, c = 2.400 Å, α = 90.00°, β = 90.00° and γ = 90.00°. The asymmetric unit holds Be at (0.000, 0.000, 0.000), C at (0.500, 0.500, 0.500), S at (0.000, 0.500, 0.500) and N at (0.500, 0.500, 0.000).

For the total magnetization, the calculation gives 0.000 μB per cell.

Version Q
Entry from the Alexandria database: a relaxed BeCS2N crystal (PBE).

It has space group P4/mmm (No. 123), with a = 4.410 Å, b = 4.410 Å, c = 3.104 Å, α = 90.00°, β = 90.00° and γ = 90.00°. The asymmetric unit holds Be at (0.000, 0.000, 0.000), C at (0.500, 0.500, 0.500), S at (0.000, 0.500, 0.000) and N at (0.000, 0.000, 0.500).

For the total magnetization, the calculation gives 0.000 μB per cell.

Which of them is least stable? Easy: version Q.

Version P
Entry from the Alexandria database: a relaxed BeCSe2N crystal (PBE).

It has space group P4/mmm (No. 123), with a = 4.786 Å, b = 4.786 Å, c = 3.025 Å, α = 90.00°, β = 90.00° and γ = 90.00°. The asymmetric unit holds Be at (0.000, 0.000, 0.000), C at (0.500, 0.500, 0.500), Se at (0.000, 0.500, 0.000) and N at (0.000, 0.000, 0.500).

For the total magnetization, the calculation gives 0.000 μB per cell.

Version Q
Entry from the Alexandria database: a relaxed BeCSe2N crystal (PBE).

It has space group P4/mmm (No. 123), with a = 5.901 Å, b = 5.901 Å, c = 2.465 Å, α = 90.00°, β = 90.00° and γ = 90.00°. The asymmetric unit holds Be at (0.000, 0.000, 0.000), C at (0.500, 0.500, 0.500), Se at (0.000, 0.500, 0.500) and N at (0.500, 0.500, 0.000).

For the total magnetization, the calculation gives 0.000 μB per cell.

Which of them is least stable? Easy: version P.

Version P
Entry from the Alexandria database: a relaxed NaBeC crystal (PBE).

It has space group C2/m (No. 12), with a = 9.702 Å, b = 3.238 Å, c = 6.021 Å, α = 90.00°, β = 120.45° and γ = 90.00°. The asymmetric unit holds Na at (0.079, 0.000, 0.343), Be at (0.236, 0.000, 0.868) and C at (0.197, 0.500, 0.775).

For the total magnetization, the calculation gives 0.000 μB per cell.

Version Q
Entry from the Alexandria database: a relaxed NaBeC crystal (PBE).

It has space group Amm2 (No. 38), with a = 4.378 Å, b = 2.692 Å, c = 5.955 Å, α = 90.00°, β = 90.00° and γ = 90.00°. The asymmetric unit holds Na at (0.000, 0.000, 0.000), Be at (0.500, 0.000, 0.311) and C at (0.500, 0.000, 0.606).

For the total magnetization, the calculation gives 0.000 μB per cell.

Which of them is least stable? Easy: version Q.

Version P
Entry from the Alexandria database: a relaxed NaBeC crystal (PBE).

It has space group C2/m (No. 12), with a = 5.716 Å, b = 4.222 Å, c = 8.469 Å, α = 90.00°, β = 109.41° and γ = 90.00°. The asymmetric unit holds Na at (0.158, 0.000, 0.324), Be at (0.194, 0.500, 0.000) and C at (0.000, 0.170, 0.000).

For the total magnetization, the calculation gives 0.000 μB per cell.

Version Q
Entry from the Alexandria database: a relaxed NaBeC crystal (PBE).

It has space group P1 (No. 1), with a = 3.280 Å, b = 4.229 Å, c = 7.944 Å, α = 75.06°, β = 79.02° and γ = 67.23°. The asymmetric unit holds Na at (0.000, 0.000, 0.000), Na at (0.404, 0.610, 0.623), Be at (0.170, 0.402, 0.278), Be at (0.774, 0.148, 0.328), C at (0.382, 0.958, 0.298) and C at (0.566, 0.598, 0.289).

For the total magnetization, the calculation gives 0.000 μB per cell.

Version R
Entry from the Alexandria database: a relaxed NaBeC crystal (PBE).

It has space group Immm (No. 71), with a = 4.132 Å, b = 4.273 Å, c = 9.303 Å, α = 90.00°, β = 90.00° and γ = 90.00°. The asymmetric unit holds Na at (0.000, 0.000, 0.178), Be at (0.239, 0.000, 0.500) and C at (0.000, 0.344, 0.500).

For the total magnetization, the calculation gives 0.000 μB per cell.

Which of them is least stable? Easy: version P.

Version P
Entry from the Alexandria database: a relaxed NaBeC crystal (PBE).

It has space group P-1 (No. 2), with a = 3.341 Å, b = 3.414 Å, c = 8.282 Å, α = 90.65°, β = 92.44° and γ = 106.85°. The asymmetric unit holds Na at (0.221, 0.245, 0.315), Be at (0.204, 0.298, 0.981) and C at (0.341, 0.843, 0.947).

For the total magnetization, the calculation gives 0.000 μB per cell.

Version Q
Entry from the Alexandria database: a relaxed NaBeC crystal (PBE).

It has space group P-1 (No. 2), with a = 3.316 Å, b = 4.222 Å, c = 8.121 Å, α = 103.74°, β = 90.40° and γ = 113.04°. The asymmetric unit holds Na at (0.090, 0.173, 0.320), Be at (0.310, 0.620, 0.997) and C at (0.092, 0.182, 0.000).

For the total magnetization, the calculation gives 0.000 μB per cell.

Which of them is least stable? Easy: version P.

Version P
Entry from the Alexandria database: a relaxed NaBeC3 crystal (PBE).

It has space group Pm-3m (No. 221), with a = 3.756 Å, b = 3.756 Å, c = 3.756 Å, α = 90.00°, β = 90.00° and γ = 90.00°. The asymmetric unit holds Na at (0.000, 0.000, 0.000), Be at (0.500, 0.500, 0.500) and C at (0.000, 0.500, 0.500).

For the total magnetization, the calculation gives 0.000 μB per cell.

Version Q
Entry from the Alexandria database: a relaxed NaBeC3 crystal (PBE).

It has space group Pm-3m (No. 221), with a = 4.202 Å, b = 4.202 Å, c = 4.202 Å, α = 90.00°, β = 90.00° and γ = 90.00°. The asymmetric unit holds Na at (0.000, 0.000, 0.000), Be at (0.500, 0.500, 0.500) and C at (0.000, 0.000, 0.500).

For the total magnetization, the calculation gives 0.001 μB per cell.

Which of them is least stable? Easy: version Q.

Version P
Entry from the Alexandria database: a relaxed Na2BeC crystal (PBE).

It has space group I-42d (No. 122), with a = 9.989 Å, b = 9.989 Å, c = 3.308 Å, α = 90.00°, β = 90.00° and γ = 90.00°. The asymmetric unit holds Na at (0.002, 0.750, 0.125), Be at (0.000, 0.000, 0.500) and C at (0.000, 0.000, 0.000).

For the total magnetization, the calculation gives 0.000 μB per cell.

Version Q
Entry from the Alexandria database: a relaxed Na2BeC crystal (PBE).

It has space group Fm-3m (No. 225), with a = 6.223 Å, b = 6.223 Å, c = 6.223 Å, α = 90.00°, β = 90.00° and γ = 90.00°. The asymmetric unit holds Na at (0.250, 0.250, 0.250), Be at (0.000, 0.000, 0.000) and C at (0.000, 0.000, 0.500).

For the total magnetization, the calculation gives 0.805 μB per cell.

Which of them is least stable? Easy: version Q.

Version P
Entry from the Alexandria database: a relaxed BeNbC3 crystal (PBE).

It has space group Pm-3m (No. 221), with a = 3.537 Å, b = 3.537 Å, c = 3.537 Å, α = 90.00°, β = 90.00° and γ = 90.00°. The asymmetric unit holds Be at (0.000, 0.000, 0.000), Nb at (0.500, 0.500, 0.500) and C at (0.000, 0.000, 0.500).

For the total magnetization, the calculation gives 0.000 μB per cell.

Version Q
Entry from the Alexandria database: a relaxed BeNbC3 crystal (PBE).

It has space group Pm-3m (No. 221), with a = 4.171 Å, b = 4.171 Å, c = 4.171 Å, α = 90.00°, β = 90.00° and γ = 90.00°. The asymmetric unit holds Be at (0.000, 0.000, 0.000), Nb at (0.500, 0.500, 0.500) and C at (0.000, 0.500, 0.500).

For the total magnetization, the calculation gives 0.000 μB per cell.

Which of them is least stable? Easy: version Q.

Version P
Entry from the Alexandria database: a relaxed Be3NbC crystal (PBE).

It has space group Pm-3m (No. 221), with a = 4.433 Å, b = 4.433 Å, c = 4.433 Å, α = 90.00°, β = 90.00° and γ = 90.00°. The asymmetric unit holds Be at (0.000, 0.000, 0.500), Nb at (0.000, 0.000, 0.000) and C at (0.500, 0.500, 0.500).

For the total magnetization, the calculation gives 0.000 μB per cell.

Version Q
Entry from the Alexandria database: a relaxed Be3NbC crystal (PBE).

It has space group Pm-3m (No. 221), with a = 3.667 Å, b = 3.667 Å, c = 3.667 Å, α = 90.00°, β = 90.00° and γ = 90.00°. The asymmetric unit holds Be at (0.000, 0.000, 0.500), Nb at (0.500, 0.500, 0.500) and C at (0.000, 0.000, 0.000).

For the total magnetization, the calculation gives 0.000 μB per cell.

Which of them is least stable? Easy: version P.

Version P
Entry from the Alexandria database: a relaxed BeC3O crystal (PBE).

It has space group Pm-3m (No. 221), with a = 3.515 Å, b = 3.515 Å, c = 3.515 Å, α = 90.00°, β = 90.00° and γ = 90.00°. The asymmetric unit holds Be at (0.000, 0.000, 0.000), C at (0.000, 0.000, 0.500) and O at (0.500, 0.500, 0.500).

For the total magnetization, the calculation gives 0.000 μB per cell.

Version Q
Entry from the Alexandria database: a relaxed BeC3O crystal (PBE).

It has space group Pm-3m (No. 221), with a = 3.531 Å, b = 3.531 Å, c = 3.531 Å, α = 90.00°, β = 90.00° and γ = 90.00°. The asymmetric unit holds Be at (0.000, 0.000, 0.000), C at (0.000, 0.500, 0.500) and O at (0.500, 0.500, 0.500).

For the total magnetization, the calculation gives 0.000 μB per cell.

Which of them is least stable? Easy: version Q.

Version P
Entry from the Alexandria database: a relaxed BeC2O crystal (PBE).

It has space group I-42d (No. 122), with a = 3.987 Å, b = 3.987 Å, c = 7.797 Å, α = 90.00°, β = 90.00° and γ = 90.00°. The asymmetric unit holds Be at (0.000, 0.000, 0.000), C at (0.241, 0.250, 0.625) and O at (0.000, 0.000, 0.500).

For the total magnetization, the calculation gives 0.000 μB per cell.

Version Q
Entry from the Alexandria database: a relaxed BeC2O crystal (PBE).

It has space group Fm-3m (No. 225), with a = 5.015 Å, b = 5.015 Å, c = 5.015 Å, α = 90.00°, β = 90.00° and γ = 90.00°. The asymmetric unit holds Be at (0.000, 0.000, 0.000), C at (0.250, 0.250, 0.250) and O at (0.000, 0.000, 0.500).

For the total magnetization, the calculation gives 0.000 μB per cell.

Which of them is least stable? Easy: version Q.

Version P
Entry from the Alexandria database: a relaxed BePCO2 crystal (PBE).

It has space group P4/mmm (No. 123), with a = 2.980 Å, b = 2.980 Å, c = 7.548 Å, α = 90.00°, β = 90.00° and γ = 90.00°. The asymmetric unit holds Be at (0.000, 0.000, 0.000), P at (0.000, 0.000, 0.500), C at (0.500, 0.500, 0.500) and O at (0.000, 0.500, 0.000).

For the total magnetization, the calculation gives 0.000 μB per cell.

Version Q
Entry from the Alexandria database: a relaxed BePCO2 crystal (PBE).

It has space group P4/mmm (No. 123), with a = 3.273 Å, b = 3.273 Å, c = 4.393 Å, α = 90.00°, β = 90.00° and γ = 90.00°. The asymmetric unit holds Be at (0.000, 0.000, 0.000), P at (0.500, 0.500, 0.000), C at (0.500, 0.500, 0.500) and O at (0.000, 0.500, 0.500).

For the total magnetization, the calculation gives 0.231 μB per cell.

Which of them is least stable? Easy: version Q.